Record 1
A geometry-optimized AcZrSc2 structure. Source: Alexandria via LeMat-Bulk, functional PBE.

The structure in CIF format:
```
data_AcZrSc2
_chemical_formula_sum 'Ac1 Zr1 Sc2'
_cell_length_a 4.6922
_cell_length_b 4.8519
_cell_length_c 4.8519
_cell_angle_alpha 90.00
_cell_angle_beta 90.00
_cell_angle_gamma 90.00
_space_group_name_H-M_alt 'P 1'
_space_group_IT_number 1
loop_
_space_group_symop_operation_xyz
'x,y,z'
loop_
_atom_site_label
_atom_site_type_symbol
_atom_site_fract_x
_atom_site_fract_y
_atom_site_fract_z
_atom_site_occupancy
Sc1 Sc 0.0000 0.0000 0.5000 1
Sc2 Sc 0.0000 0.5000 0.0000 1
Ac1 Ac 0.5000 0.0000 0.0000 1
Zr1 Zr 0.5000 0.5000 0.5000 1
```

Values from the calculation:
As for the crystal system: tetragonal. As for the space-group type: P4/mmm, No. 123. The value obtained for the total energy is -24.6 eV per cell.


Record 2
A geometry-optimized Na2GaFeTe structure. Source: Alexandria via LeMat-Bulk, functional PBE.

The structure in CIF format:
```
data_Na2GaFeTe
_chemical_formula_sum 'Na2 Ga1 Fe1 Te1'
_cell_length_a 5.6031
_cell_length_b 5.4205
_cell_length_c 5.6031
_cell_angle_alpha 90.00
_cell_angle_beta 90.00
_cell_angle_gamma 90.00
_space_group_name_H-M_alt 'P 1'
_space_group_IT_number 1
loop_
_space_group_symop_operation_xyz
'x,y,z'
loop_
_atom_site_label
_atom_site_type_symbol
_atom_site_fract_x
_atom_site_fract_y
_atom_site_fract_z
_atom_site_occupancy
Ga1 Ga 0.0000 0.0000 0.0000 1
Te1 Te 0.0000 0.5000 0.0000 1
Fe1 Fe 0.5000 0.5000 0.5000 1
Na1 Na 0.0000 0.0000 0.5000 1
Na2 Na 0.5000 0.0000 0.0000 1
```

Values from the calculation:
For the formation energy without anion corrections, the calculation gives 0.77 eV per atom. As for the crystal system: tetragonal. As for the space-group type: P4/mmm, No. 123. The value obtained for the total energy is -13.4 eV per cell.